1.
Density functional theory data (PBE) for Pm2BeSi3 after structural relaxation.

Geometry as CIF:
```
data_Pm2BeSi3
_symmetry_space_group_name_H-M 'P m m 2'
_symmetry_Int_Tables_number 25
_symmetry_space_group_name_Hall 'P 2 -2'
_cell_length_a 3.9858
_cell_length_b 4.2256
_cell_length_c 6.8313
_cell_angle_alpha 90.00
_cell_angle_beta 90.00
_cell_angle_gamma 90.00
loop_
_atom_site_label
_atom_site_type_symbol
_atom_site_fract_x
_atom_site_fract_y
_atom_site_fract_z
_atom_site_occupancy
Pm1 Pm 0.0000 0.0000 0.0000 1
Pm2 Pm 0.5000 0.0000 0.4994 1
Be1 Be 0.0000 0.5000 0.6729 1
Si1 Si 0.0000 0.5000 0.3481 1
Si2 Si 0.5000 0.5000 0.1639 1
Si3 Si 0.5000 0.5000 0.8192 1
```

Values from the calculation:
Its formation energy without anion corrections is -683 meV per atom. The energy above the most stable polymorph in this dataset comes out at 21 meV/atom.

***

2.
Density functional theory data (PBE) for Pm3Be2Si4 after structural relaxation.

Geometry as CIF:
```
data_Pm3Be2Si4
_symmetry_space_group_name_H-M 'C 1 2/m 1'
_symmetry_Int_Tables_number 12
_symmetry_space_group_name_Hall '-C 2y'
_cell_length_a 10.8829
_cell_length_b 3.9439
_cell_length_c 8.0181
_cell_angle_alpha 90.00
_cell_angle_beta 97.11
_cell_angle_gamma 90.00
loop_
_atom_site_label
_atom_site_type_symbol
_atom_site_fract_x
_atom_site_fract_y
_atom_site_fract_z
_atom_site_occupancy
Pm1 Pm 0.0000 0.0000 0.0000 1
Pm2 Pm 0.1650 0.5000 0.6666 1
Be1 Be 0.1093 0.5000 0.2813 1
Si1 Si 0.0606 0.0000 0.3843 1
Si2 Si 0.2159 0.5000 0.0640 1
```

Values from the calculation:
Its formation energy without anion corrections is -707 meV per atom. The energy above the most stable polymorph in this dataset comes out at 0 meV/atom.

***

3.
Density functional theory data (PBE) for PmBe2Si2 after structural relaxation.

Geometry as CIF:
```
data_PmBe2Si2
_symmetry_space_group_name_H-M 'P 4/n m m'
_symmetry_Int_Tables_number 129
_cell_length_a 3.9762
_cell_length_b 3.9762
_cell_length_c 9.5672
_cell_angle_alpha 90.00
_cell_angle_beta 90.00
_cell_angle_gamma 90.00
loop_
_symmetry_equiv_pos_as_xyz
'x,y,z'
'-x,-y,-z'
'-y+1/2,x,z'
'y+1/2,-x,-z'
'-x+1/2,-y+1/2,z'
'x+1/2,y+1/2,-z'
'y,-x+1/2,z'
'-y,x+1/2,-z'
'x+1/2,-y,-z'
'-x+1/2,y,z'
'-y,-x,-z'
'y,x,z'
'-x,y+1/2,-z'
'x,-y+1/2,z'
'y+1/2,x+1/2,-z'
'-y+1/2,-x+1/2,z'
loop_
_atom_site_label
_atom_site_type_symbol
_atom_site_fract_x
_atom_site_fract_y
_atom_site_fract_z
_atom_site_occupancy
Pm1 Pm 0.2500 0.2500 0.2492 1
Be1 Be 0.2500 0.2500 0.8720 1
Be2 Be 0.2500 0.7500 0.5000 1
Si1 Si 0.2500 0.2500 0.6304 1
Si2 Si 0.2500 0.7500 0.0000 1
```

Values from the calculation:
Its formation energy without anion corrections is -358 meV per atom. The energy above the most stable polymorph in this dataset comes out at 0 meV/atom.

***

4.
Density functional theory data (PBE) for PmBeSi2 after structural relaxation.

Geometry as CIF:
```
data_PmBeSi2
_symmetry_space_group_name_H-M 'P 4/m m m'
_symmetry_Int_Tables_number 123
_symmetry_space_group_name_Hall '-P 4 2'
_cell_length_a 4.1187
_cell_length_b 4.1187
_cell_length_c 4.1340
_cell_angle_alpha 90.00
_cell_angle_beta 90.00
_cell_angle_gamma 90.00
loop_
_atom_site_label
_atom_site_type_symbol
_atom_site_fract_x
_atom_site_fract_y
_atom_site_fract_z
_atom_site_occupancy
Pm1 Pm 0.0000 0.0000 0.0000 1
Be1 Be 0.5000 0.5000 0.0000 1
Si1 Si 0.0000 0.5000 0.5000 1
```

Values from the calculation:
Its formation energy without anion corrections is -52 meV per atom. The energy above the most stable polymorph in this dataset comes out at 101 meV/atom.

***

5.
Density functional theory data (PBE) for PmSmBeSi after structural relaxation.

Geometry as CIF:
```
data_PmSmBeSi
_symmetry_space_group_name_H-M 'F -4 3 m'
_symmetry_Int_Tables_number 216
_symmetry_space_group_name_Hall 'F -4 2 3'
_cell_length_a 7.0695
_cell_length_b 7.0695
_cell_length_c 7.0695
_cell_angle_alpha 90.00
_cell_angle_beta 90.00
_cell_angle_gamma 90.00
loop_
_atom_site_label
_atom_site_type_symbol
_atom_site_fract_x
_atom_site_fract_y
_atom_site_fract_z
_atom_site_occupancy
Pm1 Pm 0.0000 0.0000 0.0000 1
Sm1 Sm 0.0000 0.0000 0.5000 1
Be1 Be 0.2500 0.2500 0.7500 1
Si1 Si 0.2500 0.2500 0.2500 1
```

Values from the calculation:
Its formation energy without anion corrections is -189 meV per atom.

***

6.
Density functional theory data (PBE) for TbPmBe2Si2 after structural relaxation.

Geometry as CIF:
```
data_TbPmBe2Si2
_symmetry_space_group_name_H-M 'P -3 m 1'
_symmetry_Int_Tables_number 164
_symmetry_space_group_name_Hall '-P 3 2"'
_cell_length_a 3.9082
_cell_length_b 3.9082
_cell_length_c 8.2567
_cell_angle_alpha 90.00
_cell_angle_beta 90.00
_cell_angle_gamma 120.00
loop_
_atom_site_label
_atom_site_type_symbol
_atom_site_fract_x
_atom_site_fract_y
_atom_site_fract_z
_atom_site_occupancy
Tb1 Tb 0.0000 0.0000 0.0000 1
Pm1 Pm 0.0000 0.0000 0.5000 1
Be1 Be 0.3333 0.6667 0.2444 1
Si1 Si 0.3333 0.6667 0.7558 1
```

Values from the calculation:
Its formation energy without anion corrections is -640 meV per atom.

***

7.
Density functional theory data (PBE) for PmBeSi2Tc after structural relaxation.

Geometry as CIF:
```
data_PmBeSi2Tc
_symmetry_space_group_name_H-M 'I -4 m 2'
_symmetry_Int_Tables_number 119
_symmetry_space_group_name_Hall 'I -4 -2'
_cell_length_a 3.9686
_cell_length_b 3.9686
_cell_length_c 10.5260
_cell_angle_alpha 90.00
_cell_angle_beta 90.00
_cell_angle_gamma 90.00
loop_
_atom_site_label
_atom_site_type_symbol
_atom_site_fract_x
_atom_site_fract_y
_atom_site_fract_z
_atom_site_occupancy
Pm1 Pm 0.0000 0.0000 0.0000 1
Be1 Be 0.0000 0.5000 0.7500 1
Si1 Si 0.0000 0.0000 0.3788 1
Tc1 Tc 0.0000 0.5000 0.2500 1
```

Values from the calculation:
Its formation energy without anion corrections is -470 meV per atom.

***

8.
Density functional theory data (PBE) for Pm2Be4Si3Tc after structural relaxation.

Geometry as CIF:
```
data_Pm2Be4Si3Tc
_symmetry_space_group_name_H-M 'P -4 m 2'
_symmetry_Int_Tables_number 115
_symmetry_space_group_name_Hall 'P -4 -2'
_cell_length_a 3.8686
_cell_length_b 3.8686
_cell_length_c 10.0788
_cell_angle_alpha 90.00
_cell_angle_beta 90.00
_cell_angle_gamma 90.00
loop_
_atom_site_label
_atom_site_type_symbol
_atom_site_fract_x
_atom_site_fract_y
_atom_site_fract_z
_atom_site_occupancy
Pm1 Pm 0.0000 0.5000 0.2423 1
Be1 Be 0.0000 0.0000 0.0000 1
Be2 Be 0.0000 0.5000 0.6353 1
Be3 Be 0.5000 0.5000 0.0000 1
Si1 Si 0.0000 0.5000 0.8721 1
Si2 Si 0.5000 0.5000 0.5000 1
Tc1 Tc 0.0000 0.0000 0.5000 1
```

Values from the calculation:
Its formation energy without anion corrections is -360 meV per atom.